Entry 1:
Nb2SiAuO at its PBEsol-relaxed geometry. Source: Alexandria via LeMat-Bulk, functional meta-GGA SCAN.

Output
Its crystal system is tetragonal. As for the formation energy from raw total energies: -23.6 kJ/mol of atoms.

Lattice parameters (Å, degrees): 4.087 4.087 4.636 90.00 90.00 90.00
Space group P4/mmm (No. 123)
One atom of each set of equivalent atoms:
1 Nb 0.000 0.500 0.000 x2
2 Si 0.000 0.000 0.500 x1
3 Au 0.500 0.500 0.500 x1
4 O 0.500 0.500 0.000 x1

Entry 2:
NbOs2Au at its PBEsol-relaxed geometry. Source: Alexandria via LeMat-Bulk, functional meta-GGA SCAN.

Output
Its crystal system is cubic. As for the formation enthalpy at 0 K: 0.304 eV/atom.

Lattice parameters (Å, degrees): 6.295 6.295 6.295 90.00 90.00 90.00
Space group Fm-3m (No. 225)
One atom of each set of equivalent atoms:
1 Nb 0.000 0.000 0.000 x4
2 Os 0.250 0.250 0.250 x8
3 Au 0.000 0.000 0.500 x4

Entry 3:
Nb6OsAu at its PBEsol-relaxed geometry. Source: Alexandria via LeMat-Bulk, functional meta-GGA SCAN.

Output
Its crystal system is cubic. As for the formation enthalpy at 0 K: -0.301 eV/atom.

Lattice parameters (Å, degrees): 5.152 5.152 5.152 90.00 90.00 90.00
Space group Pm-3 (No. 200)
One atom of each set of equivalent atoms:
1 Nb 0.000 0.255 0.500 x6
2 Os 0.500 0.500 0.500 x1
3 Au 0.000 0.000 0.000 x1

Entry 4:
NbOs2RhAu at its PBEsol-relaxed geometry. Source: Alexandria via LeMat-Bulk, functional meta-GGA SCAN.

Output
Its crystal system is tetragonal. As for the formation enthalpy at 0 K: 2.047 eV/atom.

Lattice parameters (Å, degrees): 4.682 4.682 4.615 90.00 90.00 90.00
Space group P4/mmm (No. 123)
One atom of each set of equivalent atoms:
1 Nb 0.000 0.000 0.000 x1
2 Os 0.000 0.500 0.000 x2
3 Rh 0.000 0.000 0.500 x1
4 Au 0.500 0.500 0.500 x1

Entry 5:
NbPAuS2 at its PBEsol-relaxed geometry. Source: Alexandria via LeMat-Bulk, functional meta-GGA SCAN.

Output
Its crystal system is tetragonal. As for the formation energy from raw total energies: 87.8 kJ/mol of atoms.

Lattice parameters (Å, degrees): 4.671 4.671 4.651 90.00 90.00 90.00
Space group P4/mmm (No. 123)
One atom of each set of equivalent atoms:
1 Nb 0.000 0.000 0.000 x1
2 P 0.500 0.500 0.000 x1
3 Au 0.500 0.500 0.500 x1
4 S 0.000 0.500 0.500 x2

Entry 6:
NbSbP2Au at its PBEsol-relaxed geometry. Source: Alexandria via LeMat-Bulk, functional meta-GGA SCAN.

Output
Its crystal system is tetragonal. As for the formation energy from raw total energies: 129.1 kJ/mol of atoms.

Lattice parameters (Å, degrees): 4.899 4.899 5.000 90.00 90.00 90.00
Space group P4/mmm (No. 123)
One atom of each set of equivalent atoms:
1 Nb 0.000 0.000 0.000 x1
2 Sb 0.500 0.500 0.500 x1
3 P 0.000 0.500 0.500 x2
4 Au 0.500 0.500 0.000 x1

Entry 7:
NbPd3Au at its PBEsol-relaxed geometry. Source: Alexandria via LeMat-Bulk, functional meta-GGA SCAN.

Output
Its crystal system is cubic. As for the formation enthalpy at 0 K: 1.074 eV/atom.

Lattice parameters (Å, degrees): 4.721 4.721 4.721 90.00 90.00 90.00
Space group Pm-3m (No. 221)
One atom of each set of equivalent atoms:
1 Nb 0.000 0.000 0.000 x1
2 Pd 0.000 0.000 0.500 x3
3 Au 0.500 0.500 0.500 x1

Entry 8:
NbSiPd2Au at its PBEsol-relaxed geometry. Source: Alexandria via LeMat-Bulk, functional meta-GGA SCAN.

Output
Its crystal system is tetragonal. As for the formation energy from raw total energies: 112.8 kJ/mol of atoms.

Lattice parameters (Å, degrees): 4.717 4.717 4.808 90.00 90.00 90.00
Space group P4/mmm (No. 123)
One atom of each set of equivalent atoms:
1 Nb 0.000 0.000 0.000 x1
2 Si 0.000 0.000 0.500 x1
3 Pd 0.000 0.500 0.000 x2
4 Au 0.500 0.500 0.500 x1

| no. | V (A^3/atom) |
| --- | --- |
| 1 | 15.5 |
| 2 | 15.6 |
| 3 | 17.1 |
| 4 | 20.2 |
| 5 | 20.3 |
| 6 | 24.0 |
| 7 | 21.0 |
| 8 | 21.4 |